Below is a geometry-optimized NiTePO2 structure, with properties calculated at the PBE with a Hubbard U level.

Geometry as extended XYZ:
```
5
Lattice="-1.744 2.294 -2.647 -0.963 -3.157 -2.102 -4.597 -0.389 2.692" Properties=species:S:1:pos:R:3 pbc="T T T"
Ni -3.652 -0.626 -1.028
Te 0.000 0.000 0.000
O -0.482 -1.578 -1.051
O -0.872 1.147 -1.323
P -2.298 -0.195 1.346
```

Output
The crystal system is tetragonal. The value obtained for the total energy is -4.139 eV per atom. The energy above the most stable polymorph in this dataset comes out at 0 meV per atom.